HfThGaCu after structural relaxation, computed with GGA-PBE.

Computed properties:
- Spin magnetization: 0.000 μB/atom
- Fermi-level density of states: 0.948 states/eV per atom
- Formation enthalpy at 0 K: -0.165 eV/atom
- E: -6.290 eV per atom

Cell lengths 6.9689, 6.9689, 6.9689 Å; angles 90.00, 90.00, 90.00 degrees
Last column: nearest neighbours and their distance in Å.
Space group F-43m (No. 216)
One atom of each set of equivalent atoms:
Hf (0.0000, 0.0000, 0.0000) (multiplicity 4)  4 Cu 3.02, 4 Ga 3.02
Th (0.0000, 0.0000, 0.5000) (multiplicity 4)  4 Cu 3.02, 4 Ga 3.02
Ga (0.2500, 0.2500, 0.7500) (multiplicity 4)  4 Hf 3.02, 4 Th 3.02
Cu (0.2500, 0.2500, 0.2500) (multiplicity 4)  4 Hf 3.02, 4 Th 3.02

YHfGaCu after structural relaxation, computed with GGA-PBE.

Computed properties:
- Spin magnetization: 0.122 μB/atom
- Fermi-level density of states: 0.928 states/eV per atom
- Formation enthalpy at 0 K: -0.264 eV/atom
- E: -6.149 eV per atom

Cell lengths 6.8193, 6.8193, 6.8193 Å; angles 90.00, 90.00, 90.00 degrees
Last column: nearest neighbours and their distance in Å.
Space group F-43m (No. 216)
One atom of each set of equivalent atoms:
Y (0.0000, 0.0000, 0.0000) (multiplicity 4)  4 Ga 2.95, 4 Cu 2.95
Hf (0.0000, 0.0000, 0.5000) (multiplicity 4)  4 Cu 2.95, 4 Ga 2.95
Ga (0.2500, 0.2500, 0.7500) (multiplicity 4)  4 Hf 2.95, 4 Y 2.95
Cu (0.2500, 0.2500, 0.2500) (multiplicity 4)  4 Y 2.95, 4 Hf 2.95

HfZnGaCu after structural relaxation, computed with GGA-PBE.

Computed properties:
- Spin magnetization: 0.000 μB/atom
- Fermi-level density of states: 0.432 states/eV per atom
- Formation enthalpy at 0 K: -0.131 eV/atom
- E: -4.718 eV per atom

Cell lengths 6.3474, 6.3474, 6.3474 Å; angles 90.00, 90.00, 90.00 degrees
Last column: nearest neighbours and their distance in Å.
Space group F-43m (No. 216)
One atom of each set of equivalent atoms:
Hf (0.0000, 0.0000, 0.0000) (multiplicity 4)  4 Cu 2.75, 4 Ga 2.75
Zn (0.0000, 0.0000, 0.5000) (multiplicity 4)  4 Cu 2.75, 4 Ga 2.75
Ga (0.2500, 0.2500, 0.2500) (multiplicity 4)  4 Zn 2.75, 4 Hf 2.75
Cu (0.2500, 0.2500, 0.7500) (multiplicity 4)  4 Hf 2.75, 4 Zn 2.75

GaCuHg after structural relaxation, computed with GGA-PBE.

Computed properties:
- Spin magnetization: 0.000 μB/atom
- Distance to the lowest polymorph of the same formula: 8.7 meV/atom
- Fermi-level density of states: 0.138 states/eV per atom
- Formation enthalpy at 0 K: 0.118 eV/atom
- E: -2.357 eV per atom

Cell lengths 3.1267, 3.1267, 6.4086 Å; angles 90.00, 90.00, 120.00 degrees
Last column: nearest neighbours and their distance in Å.
Space group P3m1 (No. 156)
One atom of each set of equivalent atoms:
Ga (0.0000, 0.0000, 0.0000) (multiplicity 1)  3 Cu 2.55
Cu (0.3333, 0.6667, 0.7179) (multiplicity 1)  3 Ga 2.55, 3 Hg 2.80
Hg (0.6667, 0.3333, 0.3837) (multiplicity 1)  3 Cu 2.80, 3 Ga 3.05, 6 Hg 3.13